--- i ---
YCuGeMo | PBE-GGA | relaxed

Calculated volume, Å³/cell: 74.2
Calculated density, Mg/m³: 7.18

abc: 4.7171 4.7171 4.7171
angles: 60.00 60.00 60.00
Closest atoms and distances in Å follow each position.
Fractional coordinates of all 4 atoms:
Cu  0.7500  0.7500  0.7500  4 Ge 2.89, 4 Mo 2.89
Y  0.2500  0.2500  0.2500  4 Ge 2.89, 4 Mo 2.89
Ge  0.0000  0.0000  0.0000  4 Cu 2.89, 4 Y 2.89
Mo  0.5000  0.5000  0.5000  4 Y 2.89, 4 Cu 2.89

--- ii ---
YCuGeMo | PBE-GGA | relaxed

Calculated volume, Å³/cell: 69.8
Calculated density, Mg/m³: 7.64

abc: 4.6215 4.6215 4.6215
angles: 60.00 60.00 60.00
Closest atoms and distances in Å follow each position.
Fractional coordinates of all 4 atoms:
Y  0.5000  0.5000  0.5000  4 Cu 2.83, 4 Mo 2.83
Cu  0.7500  0.7500  0.7500  4 Y 2.83, 4 Ge 2.83
Mo  0.2500  0.2500  0.2500  4 Y 2.83, 4 Ge 2.83
Ge  0.0000  0.0000  0.0000  4 Cu 2.83, 4 Mo 2.83

The relative energies come out as i 25.1; ii 0.0, with values in kJ/mol of atoms.

--- i ---
AgPbSO | PBE-GGA | relaxed

Calculated volume, Å³/cell: 160.3
Calculated density, Mg/m³: 7.52

abc: 4.2535 4.2535 8.8618
angles: 90.00 90.00 90.00
Closest atoms and distances in Å follow each position.
Fractional coordinates of all 8 atoms:
Ag  0.7500  0.7500  0.5532  4 O 2.18
Ag  0.2500  0.2500  0.4468  4 O 2.18
O  0.7500  0.2500  0.5000  4 Ag 2.18
O  0.2500  0.7500  0.5000  4 Ag 2.18
S  0.2500  0.2500  0.1374  5 Pb 2.73-3.02, 1 Ag 2.74
S  0.7500  0.7500  0.8626  5 Pb 2.73-3.02, 1 Ag 2.74
Pb  0.7500  0.7500  0.1710  5 S 2.73-3.02
Pb  0.2500  0.2500  0.8290  5 S 2.73-3.02

--- ii ---
AgPbSO | PBE-GGA | relaxed

Calculated volume, Å³/cell: 615.1
Calculated density, Mg/m³: 7.84

abc: 7.2890 11.6660 7.2333
angles: 90.04 90.00 90.01
Closest atoms and distances in Å follow each position.
Fractional coordinates of all 32 atoms:
Pb  0.5328  0.2435  0.8013  3 O 2.26-2.49
Pb  0.0317  0.2513  0.2035  3 O 2.26-2.48
Pb  0.9703  0.7515  0.3008  3 O 2.26-2.49
Pb  0.4714  0.7438  0.7037  3 O 2.26-2.48
Pb  0.9707  0.7438  0.8007  3 O 2.26-2.48
Pb  0.4699  0.7516  0.2030  3 O 2.26-2.48
Pb  0.0322  0.2435  0.7034  3 O 2.26-2.49
Pb  0.5311  0.2514  0.3004  3 O 2.26-2.48
Ag  0.7510  0.9817  0.0031  4 S 2.56-2.59, 1 O 2.63
Ag  0.7511  0.5123  0.5027  4 S 2.56-2.58, 1 O 2.63
Ag  0.2513  0.5120  0.0012  4 S 2.56-2.59, 1 O 2.64
Ag  0.2515  0.0134  0.0011  4 S 2.56-2.59, 1 O 2.63
Ag  0.2514  0.4829  0.5008  4 S 2.56-2.59, 1 O 2.63
Ag  0.7513  0.4832  0.0029  4 S 2.56-2.59, 1 O 2.64
Ag  0.2513  0.9817  0.5004  4 S 2.56-2.59, 1 O 2.63
Ag  0.7513  0.0134  0.5030  4 S 2.56-2.59, 1 O 2.63
O  0.2684  0.7366  0.9666  3 Pb 2.26-2.48
O  0.7341  0.2585  0.0377  3 Pb 2.26-2.48
O  0.2697  0.7574  0.4670  3 Pb 2.26-2.49
O  0.7680  0.7573  0.0366  3 Pb 2.26-2.48
O  0.2346  0.2379  0.9675  3 Pb 2.26-2.49
O  0.7332  0.2378  0.5369  3 Pb 2.26-2.49
O  0.7689  0.7364  0.5376  3 Pb 2.26-2.48
O  0.2334  0.2587  0.4664  3 Pb 2.26-2.48
S  0.4992  0.0025  0.2517  4 Ag 2.56-2.59
S  0.5031  0.5036  0.2533  4 Ag 2.56-2.59
S  0.4994  0.4914  0.7508  4 Ag 2.56-2.59
S  0.9998  0.4921  0.7523  4 Ag 2.56-2.59
S  0.0035  0.9921  0.7507  4 Ag 2.56-2.59
S  0.5033  0.9926  0.7523  4 Ag 2.56-2.59
S  0.0029  0.5030  0.2517  4 Ag 2.56-2.58
S  0.9993  0.0029  0.2533  4 Ag 2.56-2.59

The relative energies come out as i 16.2; ii 0.0, with values in kJ/mol of atoms.

--- i ---
LuAgNO | PBE-GGA | relaxed

Calculated volume, Å³/cell: 130.9
Calculated density, Mg/m³: 7.94

abc: 3.8175 5.5002 6.2360
angles: 90.00 90.00 90.00
Closest atoms and distances in Å follow each position.
Fractional coordinates of all 8 atoms:
Ag  0.0000  0.4980  0.3562  2 N 2.13-2.14
Ag  0.0000  0.9980  0.6438  2 N 2.13-2.14
O  0.5000  0.8730  0.8660  2 Lu 2.08
O  0.5000  0.3730  0.1340  2 Lu 2.08
Lu  0.5000  0.9980  0.1801  2 O 2.08, 2 N 2.18
Lu  0.5000  0.4980  0.8199  2 O 2.08, 2 N 2.18
N  0.0000  0.8851  0.3164  2 Ag 2.13-2.14, 2 Lu 2.18
N  0.0000  0.3851  0.6836  2 Ag 2.13-2.14, 2 Lu 2.18

--- ii ---
LuAgNO | PBE-GGA | relaxed

Calculated volume, Å³/cell: 127.2
Calculated density, Mg/m³: 8.17

abc: 3.5955 5.7261 6.1796
angles: 90.00 90.00 90.00
Closest atoms and distances in Å follow each position.
Fractional coordinates of all 8 atoms:
Lu  0.0000  0.4948  0.2991  2 O 2.09, 2 N 2.19-2.20
Lu  0.0000  0.9948  0.7009  2 O 2.09, 2 N 2.19-2.20
O  0.5000  0.8997  0.8497  2 Lu 2.09
O  0.5000  0.3997  0.1503  2 Lu 2.09
N  0.0000  0.8714  0.3660  2 Ag 2.11, 2 Lu 2.19-2.20
N  0.0000  0.3714  0.6340  2 Ag 2.11, 2 Lu 2.19-2.20
Ag  0.5000  0.4881  0.7768  2 N 2.11, 1 O 2.36
Ag  0.5000  0.9881  0.2232  2 N 2.11, 1 O 2.36

The relative energies come out as i 2.7; ii 0.0, with values in kJ/mol of atoms.

--- i ---
Ba2InOsSe6 | PBE-GGA | relaxed

Calculated volume, Å³/cell: 282.6
Calculated density, Mg/m³: 6.19

abc: 7.3661 7.3661 7.3661
angles: 120.01 120.01 89.99
Closest atoms and distances in Å follow each position.
Fractional coordinates of all 10 atoms:
Se  0.2403  0.7597  0.0000  1 Os 2.50, 1 In 2.71
Se  0.2403  0.2403  0.4806  1 Os 2.50, 1 In 2.71
Se  0.7597  0.7597  0.0000  1 Os 2.50, 1 In 2.71
Se  0.7597  0.2403  0.0000  1 Os 2.50, 1 In 2.71
Se  0.2403  0.2403  0.0000  1 Os 2.50, 1 In 2.71
Se  0.7597  0.7597  0.5194  1 Os 2.50, 1 In 2.71
Ba  0.7500  0.2500  0.5000  12 Se 3.68
Ba  0.2500  0.7500  0.5000  12 Se 3.68
In  0.5000  0.5000  0.0000  6 Se 2.71
Os  0.0000  0.0000  0.0000  6 Se 2.50

--- ii ---
Ba2InOsSe6 | PBE-GGA | relaxed

Calculated volume, Å³/cell: 277.1
Calculated density, Mg/m³: 6.31

abc: 7.0218 7.0218 7.0218
angles: 66.11 66.11 66.11
Closest atoms and distances in Å follow each position.
Fractional coordinates of all 10 atoms:
Ba  0.2487  0.2487  0.2487  9 Se 3.24-3.60
Ba  0.7530  0.7530  0.7530  6 Se 3.26-3.33
In  0.9807  0.9807  0.9807  6 Se 2.73-2.95
Se  0.8160  0.3000  0.6572  1 Os 2.66, 1 In 2.73
Se  0.7327  0.3359  0.1867  1 Os 2.42
Se  0.1867  0.7327  0.3359  1 Os 2.42
Se  0.3000  0.6572  0.8160  1 Os 2.66, 1 In 2.73
Se  0.3359  0.1867  0.7327  1 Os 2.42
Se  0.6572  0.8160  0.3000  1 Os 2.66, 1 In 2.73
Os  0.4852  0.4852  0.4852  6 Se 2.42-2.66

The relative energies come out as i 10.5; ii 0.0, with values in kJ/mol of atoms.

--- i ---
ScAlZnNi | PBE-GGA | relaxed

Calculated volume, Å³/cell: 59.6
Calculated density, Mg/m³: 5.46

abc: 4.3849 4.3849 4.3849
angles: 60.00 60.00 60.00
Closest atoms and distances in Å follow each position.
Fractional coordinates of all 4 atoms:
Al  0.0000  0.0000  0.0000  4 Ni 2.69, 4 Sc 2.69
Zn  0.5000  0.5000  0.5000  4 Ni 2.69, 4 Sc 2.69
Sc  0.2500  0.2500  0.2500  4 Zn 2.69, 4 Al 2.69
Ni  0.7500  0.7500  0.7500  4 Zn 2.69, 4 Al 2.69

--- ii ---
ScAlZnNi | PBE-GGA | relaxed

Calculated volume, Å³/cell: 60.1
Calculated density, Mg/m³: 5.42

abc: 4.3963 4.3963 4.3963
angles: 60.00 60.00 60.00
Closest atoms and distances in Å follow each position.
Fractional coordinates of all 4 atoms:
Al  0.2500  0.2500  0.2500  4 Sc 2.69, 4 Zn 2.69
Sc  0.0000  0.0000  0.0000  4 Ni 2.69, 4 Al 2.69
Ni  0.7500  0.7500  0.7500  4 Sc 2.69, 4 Zn 2.69
Zn  0.5000  0.5000  0.5000  4 Ni 2.69, 4 Al 2.69

The relative energies come out as i 0.0; ii 3.5, with values in kJ/mol of atoms.

--- i ---
ErTeAuO | PBE-GGA | relaxed

Calculated volume, Å³/cell: 320.8
Calculated density, Mg/m³: 10.52

abc: 5.6280 5.6378 10.1096
angles: 90.00 90.00 90.00
Closest atoms and distances in Å follow each position.
Fractional coordinates of all 16 atoms:
Au  0.2236  0.7909  0.5021  3 Te 2.82-2.99, 4 Au 2.83-2.85
Au  0.7764  0.2091  0.5021  3 Te 2.82-2.99, 4 Au 2.83-2.85
Au  0.2764  0.2909  0.5021  3 Te 2.82-2.99, 4 Au 2.83-2.85
Au  0.7236  0.7091  0.5021  3 Te 2.82-2.99, 4 Au 2.83-2.85
O  0.2506  0.2509  0.9994  4 Er 2.25-2.26
O  0.7494  0.7491  0.9994  4 Er 2.25-2.26
O  0.2494  0.7509  0.9994  4 Er 2.25-2.26
O  0.7506  0.2491  0.9994  4 Er 2.25-2.26
Er  0.0000  0.0000  0.8953  4 O 2.25-2.26
Er  0.0000  0.5000  0.1042  4 O 2.25-2.26
Er  0.5000  0.5000  0.8953  4 O 2.25-2.26
Er  0.5000  0.0000  0.1042  4 O 2.25-2.26
Te  0.0000  0.5000  0.7161  4 Au 2.91-2.99
Te  0.0000  0.0000  0.2815  2 Au 2.82
Te  0.5000  0.5000  0.2815  2 Au 2.82
Te  0.5000  0.0000  0.7161  4 Au 2.91-2.99

--- ii ---
ErTeAuO | PBE-GGA | relaxed

Calculated volume, Å³/cell: 191.9
Calculated density, Mg/m³: 8.79

abc: 4.3904 6.4858 6.7386
angles: 90.00 90.00 90.00
Closest atoms and distances in Å follow each position.
Fractional coordinates of all 8 atoms:
Er  0.5000  0.1693  0.4633  2 O 2.07-2.10
Er  0.5000  0.8307  0.9633  2 O 2.07-2.10
Te  0.0000  0.6589  0.2289  2 Au 2.66-2.77
Te  0.0000  0.3411  0.7289  2 Au 2.66-2.77
O  0.5000  0.0707  0.1663  2 Er 2.07-2.10
O  0.5000  0.9293  0.6663  2 Er 2.07-2.10
Au  0.0000  0.2619  0.1326  2 O 2.53, 2 Te 2.66-2.77
Au  0.0000  0.7381  0.6326  2 O 2.53, 2 Te 2.66-2.77

The relative energies come out as i 0.0; ii 41.2, with values in kJ/mol of atoms.